! AlMo2Cl, relaxed, DFT GGA-PBE; values from VASP
! DOS(E_F)   2.70 states/eV/cell
! Offset from the most stable computed form   346.3 meV/atom
! Formation energy (no corrections)   383 meV/atom
&SYSTEM
  ibrav = 0, nat = 4, ntyp = 3
/
ATOMIC_SPECIES
Cl 35.45 Cl.upf
Al 26.98 Al.upf
Mo 95.94 Mo.upf
CELL_PARAMETERS angstrom
4.9896 0.0017 0.0196
4.2112 2.6762 0.0196
2.0999 0.6112 5.0942
ATOMIC_POSITIONS crystal
Cl 0.2500 0.2500 0.2500
Al 0.7500 0.7500 0.7500
Mo 0.9838 0.9838 0.9710
Mo 0.5162 0.5162 0.5290